This record from Alexandria via LeMat-Bulk describes a relaxed V4NiRh3 crystal. The functional is GGA-PBE.

## Properties
Space-group type ... C2/m
Uncorrected energy ... -8.145 eV/atom
Total magnetization ... 1.218 μB per cell

Unit cell a=4.2139 b=4.3541 c=6.6692 alpha=109.24 beta=108.42 gamma=90.00
With the nearest neighbours (Å) after each atom.
Fractional coordinates of all 8 atoms:
V1 0.1239 0.6242 0.2477  3 Rh 2.57-2.81, 4 V 2.60-2.64, 2 Ni 2.62-2.63
V2 0.8761 0.3758 0.7523  3 Rh 2.57-2.81, 4 V 2.60-2.64, 2 Ni 2.62-2.63
V3 0.7517 0.7529 0.5034  4 Rh 2.47-2.56, 4 V 2.60-2.64
V4 0.2483 0.2471 0.4966  4 Rh 2.47-2.56, 4 V 2.60-2.64
Ni1 0.0000 0.0000 0.0000  4 V 2.62-2.63, 4 Rh 2.68
Rh1 0.3608 0.8590 0.7217  4 V 2.47-2.56, 2 Ni 2.68, 2 Rh 2.73
Rh2 0.6392 0.1410 0.2783  4 V 2.47-2.56, 2 Ni 2.68, 2 Rh 2.73
Rh3 0.5000 0.5000 0.0000  4 V 2.57, 4 Rh 2.73